(1)
Entry from Alexandria via LeMat-Bulk: a geometry-optimized MgSc2Cr structure (GGA-PBE).

Geometry as CIF:
```
data_MgSc2Cr
_chemical_formula_sum 'Mg1 Sc2 Cr1'
_cell_length_a 4.896
_cell_length_b 4.896
_cell_length_c 4.896
_cell_angle_alpha 60.00
_cell_angle_beta 60.00
_cell_angle_gamma 60.00
_space_group_name_H-M_alt 'P 1'
_space_group_IT_number 1
_space_group_name_Hall 'P 1'
loop_
_atom_site_label
_atom_site_type_symbol
_atom_site_fract_x
_atom_site_fract_y
_atom_site_fract_z
Sc1 Sc 0.000 0.000 0.000
Sc2 Sc 0.750 0.750 0.750
Cr1 Cr 0.500 0.500 0.500
Mg1 Mg 0.250 0.250 0.250
```

Crystal system ... cubic
Formation enthalpy at 0 K ... 0.217 eV/atom
Theoretical density ... 3.3 g cm⁻³

***

(2)
Entry from Alexandria via LeMat-Bulk: a geometry-optimized MgScCr3 structure (GGA-PBE).

Geometry as CIF:
```
data_MgScCr3
_chemical_formula_sum 'Mg1 Sc1 Cr3'
_cell_length_a 4.764
_cell_length_b 4.764
_cell_length_c 4.764
_cell_angle_alpha 90.00
_cell_angle_beta 90.00
_cell_angle_gamma 90.00
_space_group_name_H-M_alt 'P 1'
_space_group_IT_number 1
_space_group_name_Hall 'P 1'
loop_
_atom_site_label
_atom_site_type_symbol
_atom_site_fract_x
_atom_site_fract_y
_atom_site_fract_z
Sc1 Sc 0.500 0.500 0.500
Mg1 Mg 0.000 0.000 0.000
Cr1 Cr 0.500 0.000 0.000
Cr2 Cr 0.000 0.000 0.500
Cr3 Cr 0.000 0.500 0.000
```

Crystal system ... cubic
Formation enthalpy at 0 K ... 1.450 eV/atom
Theoretical density ... 3.5 g cm⁻³
Excess energy over the best structure of this formula in the dataset ... 0 meV per atom

***

(3)
Entry from Alexandria via LeMat-Bulk: a geometry-optimized MgSc2Cr structure (GGA-PBE).

Geometry as CIF:
```
data_MgSc2Cr
_chemical_formula_sum 'Mg1 Sc2 Cr1'
_cell_length_a 5.381
_cell_length_b 5.381
_cell_length_c 5.381
_cell_angle_alpha 132.06
_cell_angle_beta 132.06
_cell_angle_gamma 70.13
_space_group_name_H-M_alt 'P 1'
_space_group_IT_number 1
_space_group_name_Hall 'P 1'
loop_
_atom_site_label
_atom_site_type_symbol
_atom_site_fract_x
_atom_site_fract_y
_atom_site_fract_z
Cr1 Cr 0.500 0.500 0.000
Sc1 Sc 0.250 0.750 0.500
Sc2 Sc 0.000 0.000 0.000
Mg1 Mg 0.750 0.250 0.500
```

Crystal system ... tetragonal
Formation enthalpy at 0 K ... 0.233 eV/atom
Theoretical density ... 3.3 g cm⁻³

***

(4)
Entry from Alexandria via LeMat-Bulk: a geometry-optimized MgScCr2 structure (GGA-PBE).

Geometry as CIF:
```
data_MgScCr2
_chemical_formula_sum 'Mg1 Sc1 Cr2'
_cell_length_a 4.844
_cell_length_b 4.844
_cell_length_c 5.116
_cell_angle_alpha 83.88
_cell_angle_beta 83.88
_cell_angle_gamma 31.95
_space_group_name_H-M_alt 'P 1'
_space_group_IT_number 1
_space_group_name_Hall 'P 1'
loop_
_atom_site_label
_atom_site_type_symbol
_atom_site_fract_x
_atom_site_fract_y
_atom_site_fract_z
Sc1 Sc 0.750 0.750 0.750
Cr1 Cr 0.502 0.502 0.506
Cr2 Cr 0.998 0.998 0.994
Mg1 Mg 0.250 0.250 0.250
```

Crystal system ... monoclinic
Formation enthalpy at 0 K ... 0.642 eV/atom
Theoretical density ... 4.6 g cm⁻³

***

(5)
Entry from Alexandria via LeMat-Bulk: a geometry-optimized MgSc2Cr2 structure (GGA-PBE).

Geometry as CIF:
```
data_MgSc2Cr2
_chemical_formula_sum 'Mg2 Sc4 Cr4'
_cell_length_a 7.497
_cell_length_b 7.497
_cell_length_c 3.349
_cell_angle_alpha 90.00
_cell_angle_beta 90.00
_cell_angle_gamma 90.00
_space_group_name_H-M_alt 'P 1'
_space_group_IT_number 1
_space_group_name_Hall 'P 1'
loop_
_atom_site_label
_atom_site_type_symbol
_atom_site_fract_x
_atom_site_fract_y
_atom_site_fract_z
Cr1 Cr 0.590 0.090 0.000
Cr2 Cr 0.090 0.410 0.000
Cr3 Cr 0.910 0.590 0.000
Cr4 Cr 0.410 0.910 0.000
Sc1 Sc 0.304 0.196 0.500
Sc2 Sc 0.196 0.696 0.500
Sc3 Sc 0.804 0.304 0.500
Sc4 Sc 0.696 0.804 0.500
Mg1 Mg 0.000 0.000 0.000
Mg2 Mg 0.500 0.500 0.000
```

Crystal system ... tetragonal
Formation enthalpy at 0 K ... 0.246 eV/atom
Theoretical density ... 3.8 g cm⁻³

***

(6)
Entry from Alexandria via LeMat-Bulk: a geometry-optimized MgSc2Cr structure (GGA-PBE).

Geometry as CIF:
```
data_MgSc2Cr
_chemical_formula_sum 'Mg1 Sc2 Cr1'
_cell_length_a 5.568
_cell_length_b 5.568
_cell_length_c 4.892
_cell_angle_alpha 63.96
_cell_angle_beta 63.96
_cell_angle_gamma 38.61
_space_group_name_H-M_alt 'P 1'
_space_group_IT_number 1
_space_group_name_Hall 'P 1'
loop_
_atom_site_label
_atom_site_type_symbol
_atom_site_fract_x
_atom_site_fract_y
_atom_site_fract_z
Sc1 Sc 0.469 0.469 0.531
Sc2 Sc 0.031 0.031 0.969
Cr1 Cr 0.750 0.750 0.750
Mg1 Mg 0.250 0.250 0.250
```

Crystal system ... orthorhombic
Formation enthalpy at 0 K ... 0.238 eV/atom
Theoretical density ... 3.3 g cm⁻³